No. 1
CoBiIO2 after structural relaxation. Source: Alexandria, functional GGA-PBEsol.

Density of states at the Fermi level, states/eV/f.u.: 4.77
Formation energy (no corrections), eV/atom: 0.122
Space group: P4/mmm, No. 123

Lattice parameters (Å, degrees): 4.1471 4.1471 4.7455 90.00 90.00 90.00
Atoms (fractional coordinates):
Co 0.0000 0.0000 0.0000
Bi 0.5000 0.5000 0.5000
I 0.0000 0.0000 0.5000
O 0.0000 0.5000 0.0000
O 0.5000 0.0000 0.0000



No. 2
In3CoBi after structural relaxation. Source: Alexandria, functional GGA-PBEsol.

Density of states at the Fermi level, states/eV/f.u.: 6.67
Space group: Pm-3m, No. 221
Energy of formation, kJ per mole of atoms: 132.7

Lattice parameters (Å, degrees): 5.8322 5.8322 5.8322 90.00 90.00 90.00
Atoms (fractional coordinates):
In 0.0000 0.0000 0.5000
In 0.0000 0.5000 0.0000
In 0.5000 0.0000 0.0000
Co 0.5000 0.5000 0.5000
Bi 0.0000 0.0000 0.0000



No. 3
KCoBi3 after structural relaxation. Source: Alexandria, functional GGA-PBEsol.

Density of states at the Fermi level, states/eV/f.u.: 6.58
Space group: Pm-3m, No. 221
Energy of formation, kJ per mole of atoms: 176.8

Lattice parameters (Å, degrees): 5.7129 5.7129 5.7129 90.00 90.00 90.00
Atoms (fractional coordinates):
K 0.0000 0.0000 0.0000
Co 0.5000 0.5000 0.5000
Bi 0.0000 0.0000 0.5000
Bi 0.0000 0.5000 0.0000
Bi 0.5000 0.0000 0.0000



No. 4
La3CoBi after structural relaxation. Source: Alexandria, functional GGA-PBEsol.

Density of states at the Fermi level, states/eV/f.u.: 4.27
Space group: Pm-3m, No. 221
Offset from the most stable computed form, meV/atom: 4
Energy of formation, kJ per mole of atoms: -47.4

Lattice parameters (Å, degrees): 5.2363 5.2363 5.2363 90.00 90.00 90.00
Atoms (fractional coordinates):
La 0.0000 0.0000 0.5000
La 0.0000 0.5000 0.0000
La 0.5000 0.0000 0.0000
Co 0.0000 0.0000 0.0000
Bi 0.5000 0.5000 0.5000



No. 5
La3CoBi after structural relaxation. Source: Alexandria, functional GGA-PBEsol.

Density of states at the Fermi level, states/eV/f.u.: 3.64
Space group: I4/mcm, No. 140
Offset from the most stable computed form, meV/atom: 0
Energy of formation, kJ per mole of atoms: -47.7

Lattice parameters (Å, degrees): 7.4018 7.4018 7.4018 119.63 119.63 90.64
Atoms (fractional coordinates):
La 0.2374 0.7374 0.9749
La 0.2500 0.7500 0.5000
La 0.2626 0.2374 0.5000
La 0.7374 0.7626 0.5000
La 0.7500 0.2500 0.5000
La 0.7626 0.2626 0.0251
Co 0.0000 0.5000 0.5000
Co 0.5000 0.0000 0.5000
Bi 0.2500 0.2500 0.0000
Bi 0.7500 0.7500 0.0000



No. 6
LiCoBi2 after structural relaxation. Source: Alexandria, functional GGA-PBEsol.

Density of states at the Fermi level, states/eV/f.u.: 3.07
Space group: I-42d, No. 122
Energy of formation, kJ per mole of atoms: 15.3

Lattice parameters (Å, degrees): 6.6514 6.6514 6.6514 97.83 97.83 136.69
Atoms (fractional coordinates):
Li 0.0000 0.0000 0.0000
Li 0.7500 0.2500 0.5000
Co 0.2500 0.7500 0.5000
Co 0.5000 0.5000 0.0000
Bi 0.2486 0.1250 0.6236
Bi 0.3750 0.7514 0.8764
Bi 0.5014 0.6250 0.3764
Bi 0.8750 0.4986 0.1236



No. 7
LiMn2CoBi after structural relaxation. Source: Alexandria, functional GGA-PBEsol.

Density of states at the Fermi level, states/eV/f.u.: 4.00
Space group: P4/mmm, No. 123
Energy of formation, kJ per mole of atoms: 64.7

Lattice parameters (Å, degrees): 4.6242 4.6242 4.8075 90.00 90.00 90.00
Atoms (fractional coordinates):
Li 0.0000 0.0000 0.0000
Mn 0.0000 0.5000 0.5000
Mn 0.5000 0.0000 0.5000
Co 0.5000 0.5000 0.5000
Bi 0.5000 0.5000 0.0000



No. 8
Li2Co3BiO8 after structural relaxation. Source: Alexandria, functional GGA-PBEsol.

Formation energy (no corrections), eV/atom: -1.304
Space group: R-3m, No. 166

Lattice parameters (Å, degrees): 6.1269 6.1269 6.1269 55.53 55.53 55.53
Atoms (fractional coordinates):
Li 0.1090 0.1090 0.1090
Li 0.8910 0.8910 0.8910
Co 0.0000 0.5000 0.5000
Co 0.5000 0.0000 0.5000
Co 0.5000 0.5000 0.0000
Bi 0.5000 0.5000 0.5000
O 0.2427 0.2427 0.7094
O 0.2427 0.7094 0.2427
O 0.2694 0.2694 0.2694
O 0.2906 0.7573 0.7573
O 0.7094 0.2427 0.2427
O 0.7306 0.7306 0.7306
O 0.7573 0.2906 0.7573
O 0.7573 0.7573 0.2906



No. 9
MgCoBi2 after structural relaxation. Source: Alexandria, functional GGA-PBEsol.

Density of states at the Fermi level, states/eV/f.u.: 2.63
Space group: I-42d, No. 122
Energy of formation, kJ per mole of atoms: 12.8

Lattice parameters (Å, degrees): 6.7453 6.7453 6.7453 97.78 97.78 136.82
Atoms (fractional coordinates):
Mg 0.0000 0.0000 0.0000
Mg 0.7500 0.2500 0.5000
Co 0.2500 0.7500 0.5000
Co 0.5000 0.5000 0.0000
Bi 0.2487 0.6250 0.1237
Bi 0.3750 0.4987 0.6237
Bi 0.5013 0.1250 0.8763
Bi 0.8750 0.7513 0.3763



No. 10
MgNbCo2Bi after structural relaxation. Source: Alexandria, functional GGA-PBEsol.

Density of states at the Fermi level, states/eV/f.u.: 7.77
Space group: P4/mmm, No. 123
Energy of formation, kJ per mole of atoms: 149.7

Lattice parameters (Å, degrees): 4.3121 4.3121 5.0137 90.00 90.00 90.00
Atoms (fractional coordinates):
Mg 0.0000 0.0000 0.0000
Nb 0.5000 0.5000 0.5000
Co 0.0000 0.5000 0.0000
Co 0.5000 0.0000 0.0000
Bi 0.0000 0.0000 0.5000



No. 11
Co2BiMo after structural relaxation. Source: Alexandria, functional GGA-PBEsol.

Density of states at the Fermi level, states/eV/f.u.: 3.69
Space group: I-42d, No. 122
Energy of formation, kJ per mole of atoms: 83.7

Lattice parameters (Å, degrees): 8.3319 8.3319 8.3319 150.96 150.96 41.54
Atoms (fractional coordinates):
Co 0.0481 0.6250 0.9231
Co 0.3750 0.2981 0.4231
Co 0.7019 0.1250 0.0769
Co 0.8750 0.9519 0.5769
Bi 0.2500 0.7500 0.5000
Bi 0.5000 0.5000 0.0000
Mo 0.0000 0.0000 0.0000
Mo 0.7500 0.2500 0.5000



No. 12
Co3BiMo after structural relaxation. Source: Alexandria, functional GGA-PBEsol.

Density of states at the Fermi level, states/eV/f.u.: 4.15
Space group: Pm-3m, No. 221
Energy of formation, kJ per mole of atoms: 203.1

Lattice parameters (Å, degrees): 4.5706 4.5706 4.5706 90.00 90.00 90.00
Atoms (fractional coordinates):
Co 0.0000 0.0000 0.5000
Co 0.0000 0.5000 0.0000
Co 0.5000 0.0000 0.0000
Bi 0.0000 0.0000 0.0000
Mo 0.5000 0.5000 0.5000



No. 13
CoBiMoRu2 after structural relaxation. Source: Alexandria, functional GGA-PBEsol.

Density of states at the Fermi level, states/eV/f.u.: 5.29
Space group: P4/mmm, No. 123
Energy of formation, kJ per mole of atoms: 129.1

Lattice parameters (Å, degrees): 4.6185 4.6185 4.4292 90.00 90.00 90.00
Atoms (fractional coordinates):
Co 0.0000 0.0000 0.0000
Bi 0.5000 0.5000 0.0000
Mo 0.0000 0.0000 0.5000
Ru 0.0000 0.5000 0.5000
Ru 0.5000 0.0000 0.5000



No. 14
ScCo2BiMo after structural relaxation. Source: Alexandria, functional GGA-PBEsol.

Density of states at the Fermi level, states/eV/f.u.: 8.55
Space group: P4/mmm, No. 123
Energy of formation, kJ per mole of atoms: 176.2

Lattice parameters (Å, degrees): 4.6137 4.6137 5.1913 90.00 90.00 90.00
Atoms (fractional coordinates):
Sc 0.0000 0.0000 0.0000
Co 0.0000 0.5000 0.5000
Co 0.5000 0.0000 0.5000
Bi 0.0000 0.0000 0.5000
Mo 0.5000 0.5000 0.0000



No. 15
CoBi2N after structural relaxation. Source: Alexandria, functional GGA-PBEsol.

Density of states at the Fermi level, states/eV/f.u.: 2.02
Formation energy (no corrections), eV/atom: 0.682
Space group: I-42d, No. 122

Lattice parameters (Å, degrees): 6.6043 6.6043 6.6043 129.26 129.26 74.59
Atoms (fractional coordinates):
Co 0.0000 0.0000 0.0000
Co 0.7500 0.2500 0.5000
Bi 0.1454 0.6250 0.0204
Bi 0.3750 0.3954 0.5204
Bi 0.6046 0.1250 0.9796
Bi 0.8750 0.8546 0.4796
N 0.2500 0.7500 0.5000
N 0.5000 0.5000 0.0000



No. 16
CoBi3N after structural relaxation. Source: Alexandria, functional GGA-PBEsol.

Density of states at the Fermi level, states/eV/f.u.: 6.77
Formation energy (no corrections), eV/atom: 0.858
Space group: Pm-3m, No. 221

Lattice parameters (Å, degrees): 4.7862 4.7862 4.7862 90.00 90.00 90.00
Atoms (fractional coordinates):
Co 0.0000 0.0000 0.0000
Bi 0.0000 0.5000 0.5000
Bi 0.5000 0.0000 0.5000
Bi 0.5000 0.5000 0.0000
N 0.5000 0.5000 0.5000



No. 17
CoBiRu2N after structural relaxation. Source: Alexandria, functional GGA-PBEsol.

Density of states at the Fermi level, states/eV/f.u.: 6.95
Formation energy (no corrections), eV/atom: 2.242
Space group: P4/mmm, No. 123

Lattice parameters (Å, degrees): 4.3028 4.3028 4.9342 90.00 90.00 90.00
Atoms (fractional coordinates):
Co 0.0000 0.0000 0.0000
Bi 0.0000 0.0000 0.5000
Ru 0.0000 0.5000 0.0000
Ru 0.5000 0.0000 0.0000
N 0.5000 0.5000 0.5000



No. 18
NaTiCo2Bi after structural relaxation. Source: Alexandria, functional GGA-PBEsol.

Density of states at the Fermi level, states/eV/f.u.: 5.93
Space group: P4/mmm, No. 123
Energy of formation, kJ per mole of atoms: 81.0

Lattice parameters (Å, degrees): 4.3842 4.3842 5.2923 90.00 90.00 90.00
Atoms (fractional coordinates):
Na 0.0000 0.0000 0.0000
Ti 0.5000 0.5000 0.5000
Co 0.0000 0.5000 0.5000
Co 0.5000 0.0000 0.5000
Bi 0.5000 0.5000 0.0000



No. 19
NbCoBi2 after structural relaxation. Source: Alexandria, functional GGA-PBEsol.

Density of states at the Fermi level, states/eV/f.u.: 4.67
Space group: I-42d, No. 122
Energy of formation, kJ per mole of atoms: 68.4

Lattice parameters (Å, degrees): 6.0683 6.0683 6.0683 105.48 105.48 117.79
Atoms (fractional coordinates):
Nb 0.0000 0.0000 0.0000
Nb 0.7500 0.2500 0.5000
Co 0.2500 0.7500 0.5000
Co 0.5000 0.5000 0.0000
Bi 0.1727 0.6250 0.0477
Bi 0.3750 0.4227 0.5477
Bi 0.5773 0.1250 0.9523
Bi 0.8750 0.8273 0.4523



No. 20
CoBi2O6 after structural relaxation. Source: Alexandria, functional GGA-PBEsol.

Density of states at the Fermi level, states/eV/f.u.: 6.22
Formation energy (no corrections), eV/atom: -0.722
Space group: P4mm, No. 99

Lattice parameters (Å, degrees): 3.5972 3.5972 8.3030 90.00 90.00 90.00
Atoms (fractional coordinates):
Co 0.0000 0.0000 0.0000
Bi 0.5000 0.5000 0.2452
Bi 0.5000 0.5000 0.6658
O 0.0000 0.0000 0.2330
O 0.0000 0.0000 0.7906
O 0.0000 0.5000 0.0428
O 0.0000 0.5000 0.5058
O 0.5000 0.0000 0.0428
O 0.5000 0.0000 0.5058



No. 21
CoBi12O20 after structural relaxation. Source: Alexandria, functional GGA-PBEsol.

Formation energy (no corrections), eV/atom: -1.188
Space group: I23, No. 197

Lattice parameters (Å, degrees): 8.7274 8.7274 8.7274 109.47 109.47 109.47
Atoms (fractional coordinates):
Co 0.0000 0.0000 0.0000
Bi 0.1438 0.3330 0.8384
Bi 0.1616 0.4945 0.3053
Bi 0.1892 0.8562 0.6947
Bi 0.3053 0.1616 0.4945
Bi 0.3330 0.8384 0.1438
Bi 0.4945 0.3053 0.1616
Bi 0.5055 0.6670 0.8108
Bi 0.6670 0.8108 0.5055
Bi 0.6947 0.1892 0.8562
Bi 0.8108 0.5055 0.6670
Bi 0.8384 0.1438 0.3330
Bi 0.8562 0.6947 0.1892
O 0.0000 0.0000 0.3964
O 0.0000 0.0000 0.7930
O 0.0000 0.3964 0.0000
O 0.0000 0.7930 0.0000
O 0.1256 0.7466 0.3603
O 0.2070 0.2070 0.2070
O 0.2347 0.6211 0.8744
O 0.2534 0.3789 0.6137
O 0.3603 0.1256 0.7466
O 0.3789 0.6137 0.2534
O 0.3863 0.7653 0.6397
O 0.3964 0.0000 0.0000
O 0.6036 0.6036 0.6036
O 0.6137 0.2534 0.3789
O 0.6211 0.8744 0.2347
O 0.6397 0.3863 0.7653
O 0.7466 0.3603 0.1256
O 0.7653 0.6397 0.3863
O 0.7930 0.0000 0.0000
O 0.8744 0.2347 0.6211



No. 22
CoBi2O6 after structural relaxation. Source: Alexandria, functional GGA-PBEsol.

Density of states at the Fermi level, states/eV/f.u.: 4.30
Formation energy (no corrections), eV/atom: -1.013
Space group: P321, No. 150

Lattice parameters (Å, degrees): 8.7735 8.7735 5.0469 90.00 90.00 120.00
Atoms (fractional coordinates):
Co 0.0000 0.0000 0.0000
Co 0.3333 0.6667 0.5052
Co 0.6667 0.3333 0.4948
Bi 0.0000 0.3827 0.0000
Bi 0.0000 0.7154 0.5000
Bi 0.2846 0.2846 0.5000
Bi 0.3827 0.0000 0.0000
Bi 0.6173 0.6173 0.0000
Bi 0.7154 0.0000 0.5000
O 0.0744 0.1957 0.2137
O 0.1213 0.9256 0.2137
O 0.1408 0.6034 0.2896
O 0.1957 0.0744 0.7863
O 0.2326 0.7643 0.7230
O 0.2357 0.4683 0.7230
O 0.3966 0.5374 0.2896
O 0.4626 0.8592 0.2896
O 0.4683 0.2357 0.2770
O 0.5317 0.7674 0.7230
O 0.5374 0.3966 0.7104
O 0.6034 0.1408 0.7104
O 0.7643 0.2326 0.2770
O 0.7674 0.5317 0.2770
O 0.8043 0.8787 0.2137
O 0.8592 0.4626 0.7104
O 0.8787 0.8043 0.7863
O 0.9256 0.1213 0.7863



No. 23
CoBiO2 after structural relaxation. Source: Alexandria, functional GGA-PBEsol.

Density of states at the Fermi level, states/eV/f.u.: 2.67
Formation energy (no corrections), eV/atom: -0.566
Space group: I-42d, No. 122

Lattice parameters (Å, degrees): 5.8567 5.8567 5.8567 128.79 128.79 75.35
Atoms (fractional coordinates):
Co 0.0000 0.0000 0.0000
Co 0.7500 0.2500 0.5000
Bi 0.2500 0.7500 0.5000
Bi 0.5000 0.5000 0.0000
O 0.0420 0.6250 0.9170
O 0.3750 0.2920 0.4170
O 0.7080 0.1250 0.0830
O 0.8750 0.9580 0.5830